Entry 1:
Computed, not measured: a geometry-optimized BaMg2Ir structure at the GGA-PBEsol level of DFT.

The space group is I4/mmm (No. 139) and the conventional cell measures 4.577, 4.577 and 8.467 Å, with angles of 90.00, 90.00 and 90.00 degrees. Symmetry generates all atoms from Ba at (0.000, 0.000, 0.000), Mg at (0.000, 0.500, 0.250) and Ir at (0.000, 0.000, 0.500).

The energy of formation is 0.139 eV per atom. For the total magnetization, the calculation gives 0.00 μB per atom.

=====

Entry 2:
Computed, not measured: a geometry-optimized BaMg2Ir structure at the GGA-PBEsol level of DFT.

The space group is R3m (No. 160, hexagonal axes) and the conventional cell measures 4.6366, 4.6366 and 17.1346 Å, with angles of 90.00, 90.00 and 120.00 degrees. Symmetry generates all atoms from Ba at (0.0000, 0.0000, 0.0000), Mg at (0.0000, 0.0000, 0.1930), Mg at (0.0000, 0.0000, 0.4759) and Ir at (0.0000, 0.0000, 0.8128).

The energy of formation is -0.132 eV per atom. For the total magnetization, the calculation gives 0.00 μB per atom.

=====

Entry 3:
Computed, not measured: a geometry-optimized BaMg2Ir structure at the GGA-PBEsol level of DFT.

The space group is P4mm (No. 99) and the conventional cell measures 3.536, 3.536 and 7.807 Å, with angles of 90.00, 90.00 and 90.00 degrees. Symmetry generates all atoms from Ba at (0.000, 0.000, 0.000), Mg at (0.000, 0.000, 0.404), Mg at (0.500, 0.500, 0.625) and Ir at (0.500, 0.500, 0.276).

The energy of formation is -0.009 eV per atom. For the total magnetization, the calculation gives 0.00 μB per atom.

=====

Entry 4:
Computed, not measured: a geometry-optimized BaMgIr2 structure at the GGA-PBEsol level of DFT.

The space group is P2/m (No. 10) and the conventional cell measures 2.971, 4.398 and 6.558 Å, with angles of 90.00, 100.83 and 90.00 degrees. Symmetry generates all atoms from Ba at (0.000, 0.000, 0.000), Mg at (0.500, 0.000, 0.500) and Ir at (0.291, 0.500, 0.669).

The energy of formation is 0.254 eV per atom. For the total magnetization, the calculation gives 0.00 μB per atom.

=====

Entry 5:
Computed, not measured: a geometry-optimized BaMg2Ir structure at the GGA-PBEsol level of DFT.

The space group is I-4m2 (No. 119) and the conventional cell measures 5.099, 5.099 and 7.194 Å, with angles of 90.00, 90.00 and 90.00 degrees. Symmetry generates all atoms from Ba at (0.000, 0.000, 0.000), Mg at (0.000, 0.000, 0.500), Mg at (0.000, 0.500, 0.250) and Ir at (0.000, 0.500, 0.750).

The energy of formation is 0.224 eV per atom. For the total magnetization, the calculation gives 0.00 μB per atom.

=====

Entry 6:
Computed, not measured: a geometry-optimized BaMg2Ir2 structure at the GGA-PBEsol level of DFT.

The space group is I4/mmm (No. 139) and the conventional cell measures 4.464, 4.464 and 10.964 Å, with angles of 90.00, 90.00 and 90.00 degrees. Symmetry generates all atoms from Ba at (0.000, 0.000, 0.000), Mg at (0.000, 0.500, 0.250) and Ir at (0.000, 0.000, 0.389).

The energy of formation is -0.147 eV per atom. For the total magnetization, the calculation gives 0.00 μB per atom.